# 1
Computed, not measured: ErTa2ReC4 after structural relaxation at the GGA-PBE level of DFT.

Results
The value obtained for the total energy is -79.64 eV per formula unit. Its formation energy is -253 meV per atom.

Cell and atoms, written as CIF:
```
data_ErTa2ReC4
_cell_length_a 3.222
_cell_length_b 5.872
_cell_length_c 11.221
_cell_angle_alpha 90.00
_cell_angle_beta 90.00
_cell_angle_gamma 105.92
_symmetry_space_group_name_H-M 'P 1'
_symmetry_Int_Tables_number 1
_symmetry_space_group_name_Hall 'P 1'
loop_
_atom_site_label
_atom_site_type_symbol
_atom_site_fract_x
_atom_site_fract_y
_atom_site_fract_z
Ta1 Ta 0.370 0.740 0.534
Ta2 Ta 0.370 0.740 0.966
Ta3 Ta 0.630 0.260 0.034
Ta4 Ta 0.630 0.260 0.466
C1 C 0.000 0.000 0.000
C2 C 0.262 0.525 0.385
C3 C 0.738 0.475 0.885
C4 C 0.738 0.475 0.615
C5 C 0.453 0.907 0.750
C6 C 0.262 0.525 0.115
C7 C 0.547 0.093 0.250
C8 C 0.000 0.000 0.500
Re1 Re 0.150 0.300 0.250
Re2 Re 0.850 0.700 0.750
Er1 Er 0.885 0.769 0.250
Er2 Er 0.115 0.231 0.750
```

***

# 2
Computed, not measured: ErTh2ReC4 after structural relaxation at the GGA-PBE level of DFT.

Results
The value obtained for the total energy is -68.68 eV per formula unit. Its formation energy is 8 meV per atom.

Cell and atoms, written as CIF:
```
data_ErTh2ReC4
_cell_length_a 3.587
_cell_length_b 6.294
_cell_length_c 12.833
_cell_angle_alpha 90.00
_cell_angle_beta 90.00
_cell_angle_gamma 106.56
_symmetry_space_group_name_H-M 'P 1'
_symmetry_Int_Tables_number 1
_symmetry_space_group_name_Hall 'P 1'
loop_
_atom_site_label
_atom_site_type_symbol
_atom_site_fract_x
_atom_site_fract_y
_atom_site_fract_z
Th1 Th 0.634 0.268 0.038
Th2 Th 0.366 0.732 0.962
Th3 Th 0.366 0.732 0.538
Th4 Th 0.634 0.268 0.462
C1 C 0.731 0.462 0.862
C2 C 0.269 0.538 0.362
C3 C 0.000 0.000 0.500
C4 C 0.269 0.538 0.138
C5 C 0.420 0.840 0.750
C6 C 0.731 0.462 0.638
C7 C 0.000 0.000 0.000
C8 C 0.580 0.160 0.250
Er1 Er 0.893 0.785 0.250
Er2 Er 0.107 0.215 0.750
Re1 Re 0.837 0.674 0.750
Re2 Re 0.163 0.326 0.250
```

***

# 3
Computed, not measured: Er2UReC4 after structural relaxation at the GGA-PBE level of DFT.

Results
The value obtained for the total energy is -69.63 eV per formula unit. Its formation energy is 16 meV per atom.

Cell and atoms, written as CIF:
```
data_Er2UReC4
_cell_length_a 3.409
_cell_length_b 6.147
_cell_length_c 12.088
_cell_angle_alpha 90.00
_cell_angle_beta 90.00
_cell_angle_gamma 106.10
_symmetry_space_group_name_H-M 'P 1'
_symmetry_Int_Tables_number 1
_symmetry_space_group_name_Hall 'P 1'
loop_
_atom_site_label
_atom_site_type_symbol
_atom_site_fract_x
_atom_site_fract_y
_atom_site_fract_z
C1 C 0.438 0.877 0.750
C2 C 0.562 0.123 0.250
C3 C 0.271 0.541 0.133
C4 C 0.000 0.000 0.500
C5 C 0.729 0.459 0.867
C6 C 0.729 0.459 0.633
C7 C 0.000 0.000 0.000
C8 C 0.271 0.541 0.367
Er1 Er 0.630 0.260 0.040
Er2 Er 0.370 0.740 0.540
Er3 Er 0.630 0.260 0.460
Er4 Er 0.370 0.740 0.960
U1 U 0.902 0.804 0.250
U2 U 0.098 0.196 0.750
Re1 Re 0.163 0.325 0.250
Re2 Re 0.837 0.675 0.750
```

***

# 4
Computed, not measured: ErU2ReC4 after structural relaxation at the GGA-PBE level of DFT.

Results
The value obtained for the total energy is -76.74 eV per formula unit. Its formation energy is -32 meV per atom.

Cell and atoms, written as CIF:
```
data_ErU2ReC4
_cell_length_a 3.524
_cell_length_b 6.045
_cell_length_c 11.582
_cell_angle_alpha 90.00
_cell_angle_beta 90.00
_cell_angle_gamma 106.95
_symmetry_space_group_name_H-M 'P 1'
_symmetry_Int_Tables_number 1
_symmetry_space_group_name_Hall 'P 1'
loop_
_atom_site_label
_atom_site_type_symbol
_atom_site_fract_x
_atom_site_fract_y
_atom_site_fract_z
Re1 Re 0.140 0.281 0.250
Re2 Re 0.860 0.719 0.750
Er1 Er 0.123 0.245 0.750
Er2 Er 0.877 0.755 0.250
C1 C 0.452 0.904 0.750
C2 C 0.548 0.096 0.250
C3 C 0.261 0.522 0.123
C4 C 0.261 0.522 0.377
C5 C 0.000 0.000 0.500
C6 C 0.739 0.478 0.877
C7 C 0.739 0.478 0.623
C8 C 0.000 0.000 0.000
U1 U 0.630 0.259 0.456
U2 U 0.370 0.741 0.956
U3 U 0.630 0.259 0.044
U4 U 0.370 0.741 0.544
```

***

# 5
Computed, not measured: Er12Rh3C5 after structural relaxation at the GGA-PBE level of DFT.

Results
The value obtained for the total energy is -129.44 eV per formula unit. Its formation energy is -325 meV per atom.

Cell and atoms, written as CIF:
```
data_Er12Rh3C5
_cell_length_a 13.198
_cell_length_b 13.198
_cell_length_c 13.198
_cell_angle_alpha 109.47
_cell_angle_beta 109.47
_cell_angle_gamma 109.47
_symmetry_space_group_name_H-M 'P 1'
_symmetry_Int_Tables_number 1
_symmetry_space_group_name_Hall 'P 1'
loop_
_atom_site_label
_atom_site_type_symbol
_atom_site_fract_x
_atom_site_fract_y
_atom_site_fract_z
Rh1 Rh 0.125 0.250 0.875
Rh2 Rh 0.750 0.875 0.625
Rh3 Rh 0.625 0.375 0.750
Rh4 Rh 0.375 0.625 0.250
Rh5 Rh 0.250 0.625 0.875
Rh6 Rh 0.750 0.375 0.125
Rh7 Rh 0.875 0.750 0.125
Rh8 Rh 0.875 0.125 0.250
Rh9 Rh 0.125 0.875 0.750
Rh10 Rh 0.625 0.250 0.375
Rh11 Rh 0.375 0.750 0.625
Rh12 Rh 0.250 0.125 0.375
C1 C 0.500 0.500 0.500
C2 C 0.750 0.625 0.375
C3 C 0.000 0.000 0.500
C4 C 0.500 0.000 0.500
C5 C 0.625 0.875 0.250
C6 C 0.125 0.750 0.375
C7 C 0.875 0.250 0.625
C8 C 0.500 0.000 0.000
C9 C 0.375 0.125 0.750
C10 C 0.875 0.625 0.750
C11 C 0.250 0.375 0.625
C12 C 0.625 0.750 0.875
C13 C 0.125 0.375 0.250
C14 C 0.375 0.250 0.125
C15 C 0.000 0.000 0.000
C16 C 0.500 0.500 0.000
C17 C 0.000 0.500 0.500
C18 C 0.250 0.875 0.125
C19 C 0.000 0.500 0.000
C20 C 0.750 0.125 0.875
Er1 Er 0.821 0.904 0.027
Er2 Er 0.096 0.179 0.473
Er3 Er 0.679 0.473 0.596
Er4 Er 0.904 0.083 0.876
Er5 Er 0.876 0.583 0.904
Er6 Er 0.404 0.027 0.321
Er7 Er 0.206 0.679 0.083
Er8 Er 0.527 0.206 0.124
Er9 Er 0.706 0.124 0.027
Er10 Er 0.527 0.321 0.904
Er11 Er 0.124 0.706 0.527
Er12 Er 0.583 0.706 0.679
Er13 Er 0.083 0.904 0.376
Er14 Er 0.973 0.596 0.179
Er15 Er 0.376 0.404 0.083
Er16 Er 0.473 0.679 0.096
Er17 Er 0.179 0.096 0.973
Er18 Er 0.096 0.917 0.124
Er19 Er 0.706 0.583 0.179
Er20 Er 0.679 0.206 0.583
Er21 Er 0.417 0.294 0.321
Er22 Er 0.206 0.527 0.624
Er23 Er 0.376 0.973 0.794
Er24 Er 0.294 0.417 0.821
Er25 Er 0.417 0.124 0.596
Er26 Er 0.124 0.417 0.096
Er27 Er 0.821 0.917 0.294
Er28 Er 0.973 0.376 0.294
Er29 Er 0.321 0.527 0.404
Er30 Er 0.027 0.404 0.821
Er31 Er 0.473 0.794 0.876
Er32 Er 0.596 0.973 0.679
Er33 Er 0.917 0.821 0.794
Er34 Er 0.917 0.096 0.624
Er35 Er 0.294 0.876 0.973
Er36 Er 0.321 0.794 0.417
Er37 Er 0.794 0.473 0.376
Er38 Er 0.083 0.179 0.206
Er39 Er 0.583 0.876 0.404
Er40 Er 0.179 0.083 0.706
Er41 Er 0.596 0.624 0.417
Er42 Er 0.624 0.027 0.206
Er43 Er 0.876 0.294 0.473
Er44 Er 0.904 0.821 0.527
Er45 Er 0.404 0.376 0.583
Er46 Er 0.624 0.596 0.917
Er47 Er 0.027 0.624 0.706
Er48 Er 0.794 0.321 0.917
```

***

# 6
Computed, not measured: ErRh2C after structural relaxation at the GGA-PBE level of DFT.

Results
The value obtained for the total energy is -28.07 eV per formula unit. Its formation energy is 105 meV per atom.

Cell and atoms, written as CIF:
```
data_ErRh2C
_cell_length_a 3.253
_cell_length_b 3.253
_cell_length_c 7.048
_cell_angle_alpha 76.66
_cell_angle_beta 76.66
_cell_angle_gamma 60.00
_symmetry_space_group_name_H-M 'P 1'
_symmetry_Int_Tables_number 1
_symmetry_space_group_name_Hall 'P 1'
loop_
_atom_site_label
_atom_site_type_symbol
_atom_site_fract_x
_atom_site_fract_y
_atom_site_fract_z
Rh1 Rh 0.717 0.717 0.850
Rh2 Rh 0.283 0.283 0.150
C1 C 0.000 0.000 0.000
Er1 Er 0.500 0.500 0.500
```

***

# 7
Computed, not measured: Er2Rh6C after structural relaxation at the GGA-PBE level of DFT.

Results
The value obtained for the total energy is -68.12 eV per formula unit. Its formation energy is -629 meV per atom.

Cell and atoms, written as CIF:
```
data_Er2Rh6C
_cell_length_a 5.783
_cell_length_b 5.783
_cell_length_c 5.783
_cell_angle_alpha 60.00
_cell_angle_beta 60.00
_cell_angle_gamma 60.00
_symmetry_space_group_name_H-M 'P 1'
_symmetry_Int_Tables_number 1
_symmetry_space_group_name_Hall 'P 1'
loop_
_atom_site_label
_atom_site_type_symbol
_atom_site_fract_x
_atom_site_fract_y
_atom_site_fract_z
Er1 Er 0.250 0.250 0.250
Er2 Er 0.750 0.750 0.750
Rh1 Rh 0.746 0.746 0.254
Rh2 Rh 0.254 0.254 0.746
Rh3 Rh 0.254 0.746 0.746
Rh4 Rh 0.746 0.254 0.254
Rh5 Rh 0.254 0.746 0.254
Rh6 Rh 0.746 0.254 0.746
C1 C 0.000 0.000 0.000
```

***

# 8
Computed, not measured: Er2RhC after structural relaxation at the GGA-PBE level of DFT.

Results
The value obtained for the total energy is -25.88 eV per formula unit. Its formation energy is -46 meV per atom.

Cell and atoms, written as CIF:
```
data_Er2RhC
_cell_length_a 3.461
_cell_length_b 3.461
_cell_length_c 8.076
_cell_angle_alpha 77.63
_cell_angle_beta 77.63
_cell_angle_gamma 60.00
_symmetry_space_group_name_H-M 'P 1'
_symmetry_Int_Tables_number 1
_symmetry_space_group_name_Hall 'P 1'
loop_
_atom_site_label
_atom_site_type_symbol
_atom_site_fract_x
_atom_site_fract_y
_atom_site_fract_z
Er1 Er 0.109 0.109 0.672
Er2 Er 0.891 0.891 0.328
Rh1 Rh 0.000 0.000 0.000
C1 C 0.500 0.500 0.500
```

***

# 9
Computed, not measured: ErRh6C after structural relaxation at the GGA-PBE level of DFT.

Results
The value obtained for the total energy is -58.74 eV per formula unit. Its formation energy is -105 meV per atom.

Cell and atoms, written as CIF:
```
data_ErRh6C
_cell_length_a 5.509
_cell_length_b 5.509
_cell_length_c 5.771
_cell_angle_alpha 61.49
_cell_angle_beta 61.49
_cell_angle_gamma 60.00
_symmetry_space_group_name_H-M 'P 1'
_symmetry_Int_Tables_number 1
_symmetry_space_group_name_Hall 'P 1'
loop_
_atom_site_label
_atom_site_type_symbol
_atom_site_fract_x
_atom_site_fract_y
_atom_site_fract_z
Rh1 Rh 0.905 0.427 0.762
Rh2 Rh 0.095 0.095 0.238
Rh3 Rh 0.095 0.573 0.238
Rh4 Rh 0.573 0.095 0.238
Rh5 Rh 0.427 0.905 0.762
Rh6 Rh 0.905 0.905 0.762
C1 C 0.000 0.000 0.000
Er1 Er 0.500 0.500 0.500
```

***

# 10
Computed, not measured: ErRuRh2C after structural relaxation at the GGA-PBE level of DFT.

Results
The value obtained for the total energy is -39.92 eV per formula unit. Its formation energy is -430 meV per atom.

Cell and atoms, written as CIF:
```
data_ErRuRh2C
_cell_length_a 4.131
_cell_length_b 4.177
_cell_length_c 4.177
_cell_angle_alpha 90.00
_cell_angle_beta 90.00
_cell_angle_gamma 90.00
_symmetry_space_group_name_H-M 'P 1'
_symmetry_Int_Tables_number 1
_symmetry_space_group_name_Hall 'P 1'
loop_
_atom_site_label
_atom_site_type_symbol
_atom_site_fract_x
_atom_site_fract_y
_atom_site_fract_z
Er1 Er 0.500 0.500 0.500
C1 C 0.000 0.000 0.000
Rh1 Rh 0.000 0.500 0.000
Rh2 Rh 0.000 0.000 0.500
Ru1 Ru 0.500 0.000 0.000
```

***

# 11
Computed, not measured: Er2RuC after structural relaxation at the GGA-PBE level of DFT.

Results
The value obtained for the total energy is -26.42 eV per formula unit. Its formation energy is 302 meV per atom.

Cell and atoms, written as CIF:
```
data_Er2RuC
_cell_length_a 3.408
_cell_length_b 3.408
_cell_length_c 8.189
_cell_angle_alpha 77.99
_cell_angle_beta 77.99
_cell_angle_gamma 60.00
_symmetry_space_group_name_H-M 'P 1'
_symmetry_Int_Tables_number 1
_symmetry_space_group_name_Hall 'P 1'
loop_
_atom_site_label
_atom_site_type_symbol
_atom_site_fract_x
_atom_site_fract_y
_atom_site_fract_z
Er1 Er 0.890 0.890 0.329
Er2 Er 0.110 0.110 0.671
Ru1 Ru 0.000 0.000 0.000
C1 C 0.500 0.500 0.500
```

***

# 12
Computed, not measured: ErRu3C after structural relaxation at the GGA-PBE level of DFT.

Results
The value obtained for the total energy is -42.83 eV per formula unit. Its formation energy is -242 meV per atom.

Cell and atoms, written as CIF:
```
data_ErRu3C
_cell_length_a 4.149
_cell_length_b 4.149
_cell_length_c 4.149
_cell_angle_alpha 90.00
_cell_angle_beta 90.00
_cell_angle_gamma 90.00
_symmetry_space_group_name_H-M 'P 1'
_symmetry_Int_Tables_number 1
_symmetry_space_group_name_Hall 'P 1'
loop_
_atom_site_label
_atom_site_type_symbol
_atom_site_fract_x
_atom_site_fract_y
_atom_site_fract_z
Er1 Er 0.000 0.000 0.000
Ru1 Ru 0.500 0.000 0.500
Ru2 Ru 0.000 0.500 0.500
Ru3 Ru 0.500 0.500 0.000
C1 C 0.500 0.500 0.500
```

***

So what do the calculations give for size of the total moment? Going down the list: 0.00; 0.00; 3.83; 0.46; 0.00; 0.00; 0.00; 0.00; 0.00; 0.00; 0.38; 0.00 μB per cell.